Material: ZnSnSbN
Method: DFT, PBE-GGA
State: relaxed

- distance to the lowest polymorph of the same formula (kJ/mol of formula units) = 24
- space-group type = I2_12_12_1 (24)
- density (g/cm³) = 5.949
- crystal system = orthorhombic

CIF file:
```
data_ZnSnSbN
_chemical_formula_sum 'Zn2 Sn2 Sb2 N2'
_symmetry_space_group_name_H-M 'P 1'
_symmetry_Int_Tables_number 1
_cell_length_a 7.7571
_cell_length_b 7.7571
_cell_length_c 7.7571
_cell_angle_alpha 142.37
_cell_angle_beta 140.86
_cell_angle_gamma 55.42
loop_
_symmetry_equiv_pos_as_xyz
'x,y,z'
loop_
_atom_site_label
_atom_site_fract_x
_atom_site_fract_y
_atom_site_fract_z
N1 0.2500 0.9986 0.7486
N2 0.7500 0.5014 0.7514
Sb1 0.8996 0.2500 0.1496
Sb2 0.6004 0.7500 0.3504
Sn1 0.4061 0.1561 0.2500
Sn2 0.0939 0.3439 0.7500
Zn1 0.9351 0.6851 0.2500
Zn2 0.5649 0.8149 0.7500
```